RbInGeSe4 | PBE | optimized geometry

Unit cell a=9.340 b=13.482 c=8.001 alpha=90.00 beta=90.00 gamma=90.00
Space group Cmcm (No. 63)
Asymmetric unit:
Rb 0.000 0.000 0.000 [4 per cell]
In 0.000 0.377 0.250 [4 per cell]
Ge 0.000 0.371 0.750 [4 per cell]
Se 0.000 0.260 0.515 [8 per cell]
Se 0.198 0.483 0.750 [8 per cell]

Calculated values
For the uncorrected formation energy, the calculation gives -0.589 eV/atom. The volume is 1007.6 Å³/cell. The calculated total energy comes out at -3.770 eV per atom. The crystal system is orthorhombic.

***

Pd3PbN | PBE | optimized geometry

Unit cell a=5.156 b=5.156 c=5.156 alpha=90.00 beta=90.00 gamma=90.00
Space group Pm-3m (No. 221)
Asymmetric unit:
Pd 0.000 0.000 0.500 [3 per cell]
Pb 0.000 0.000 0.000 [1 per cell]
N 0.500 0.500 0.500 [1 per cell]

Calculated values
For the uncorrected formation energy, the calculation gives 1.817 eV/atom. The volume is 137.1 Å³/cell. The calculated total energy comes out at -3.706 eV per atom. The value obtained for the energy above the most stable polymorph in this dataset is 1.643 eV per atom. The crystal system is cubic.

***

Sb2RuICl | PBE | optimized geometry

Unit cell a=5.104 b=5.104 c=5.715 alpha=90.00 beta=90.00 gamma=90.00
Space group P4/mmm (No. 123)
Asymmetric unit:
Sb 0.000 0.500 0.000 [2 per cell]
Ru 0.000 0.000 0.500 [1 per cell]
I 0.500 0.500 0.500 [1 per cell]
Cl 0.500 0.500 0.000 [1 per cell]

Calculated values
For the uncorrected formation energy, the calculation gives 1.498 eV/atom. The volume is 148.9 Å³/cell. The calculated total energy comes out at -2.685 eV per atom. The value obtained for the energy above the most stable polymorph in this dataset is 1.229 eV per atom. The crystal system is tetragonal.

***

BaNi2Te | PBE | optimized geometry

Unit cell a=7.250 b=7.250 c=7.250 alpha=90.00 beta=90.00 gamma=90.00
Space group F-43m (No. 216)
Asymmetric unit:
Ba 0.000 0.000 0.000 [4 per cell]
Ni 0.000 0.000 0.500 [4 per cell]
Ni 0.250 0.250 0.750 [4 per cell]
Te 0.250 0.250 0.250 [4 per cell]

Calculated values
For the uncorrected formation energy, the calculation gives 0.395 eV/atom. The volume is 381.0 Å³/cell. The calculated total energy comes out at -3.762 eV per atom. The crystal system is cubic.

***

SrNi3Os | PBE | optimized geometry

Unit cell a=4.495 b=4.495 c=4.495 alpha=90.00 beta=90.00 gamma=90.00
Space group Pm-3m (No. 221)
Asymmetric unit:
Sr 0.000 0.000 0.000 [1 per cell]
Ni 0.000 0.000 0.500 [3 per cell]
Os 0.500 0.500 0.500 [1 per cell]

Calculated values
The volume is 90.8 Å³/cell. The calculated total energy comes out at -3.627 eV per atom. The calculation puts the formation energy at 2.42 eV/atom. The value obtained for the energy above the most stable polymorph in this dataset is 1.829 eV per atom. The crystal system is cubic.

***

TcAu4 | PBE | optimized geometry

Unit cell a=5.022 b=5.022 c=5.022 alpha=90.00 beta=90.00 gamma=90.00
Space group Pm-3m (No. 221)
Asymmetric unit:
Tc 0.000 0.000 0.000 [1 per cell]
Au 0.000 0.000 0.500 [3 per cell]
Au 0.500 0.500 0.500 [1 per cell]

Calculated values
The volume is 126.6 Å³/cell. The calculated total energy comes out at -3.377 eV per atom. The calculation puts the formation energy at 1.32 eV/atom. The value obtained for the energy above the most stable polymorph in this dataset is 1.038 eV per atom. The crystal system is cubic.